a) Compound: Nd4YHo3
Source: Alexandria via LeMat-Bulk
Functional: PBE
Structure: relaxed

The space group is Cmmm (No. 65) and the conventional cell measures 5.7140, 25.9836 and 3.6655 Å, with angles of 90.00, 90.00 and 90.00 degrees. The distinct sites, in fractional coordinates, are Nd at (0.0000, 0.1030, 0.0000), Nd at (0.0000, 0.2232, 0.0000), Y at (0.0000, 0.0000, 0.5000), Ho at (0.0000, 0.3506, 0.5000) and Ho at (0.0000, 0.5000, 0.0000).

b) Compound: Nd4YHo3
Source: Alexandria via LeMat-Bulk
Functional: PBE
Structure: relaxed

The space group is Pmn2_1 (No. 31) and the conventional cell measures 11.5970, 7.3369 and 6.3240 Å, with angles of 90.00, 90.00 and 90.00 degrees. The distinct sites, in fractional coordinates, are Nd at (0.0000, 0.1272, 0.0000), Nd at (0.0000, 0.8716, 0.5049), Nd at (0.2479, 0.1277, 0.3372), Y at (0.0000, 0.6219, 0.0052), Ho at (0.0000, 0.3795, 0.5036) and Ho at (0.2498, 0.3787, 0.8375).

Stability order, top to bottom: b), a)

a) Compound: Nd3Y5Ho4
Source: Alexandria via LeMat-Bulk
Functional: PBE
Structure: relaxed

The space group is P-1 (No. 2) and the conventional cell measures 6.1960, 7.1655 and 9.4855 Å, with angles of 78.88, 70.94 and 89.84 degrees. The distinct sites, in fractional coordinates, are Nd at (0.0000, 0.0000, 0.0000), Nd at (0.1660, 0.9161, 0.3352), Y at (0.0000, 0.5000, 0.0000), Y at (0.3329, 0.3351, 0.6654), Y at (0.4989, 0.7480, 0.9998), Ho at (0.1660, 0.4170, 0.3329) and Ho at (0.3336, 0.8319, 0.6665).

b) Compound: Nd3Y5Ho4
Source: Alexandria via LeMat-Bulk
Functional: PBE
Structure: relaxed

The space group is C2/m (No. 12) and the conventional cell measures 16.1091, 5.9357 and 9.2892 Å, with angles of 90.00, 116.22 and 90.00 degrees. The distinct sites, in fractional coordinates, are Nd at (0.0000, 0.0000, 0.0000), Nd at (0.2080, 0.5000, 0.2288), Y at (0.0000, 0.5000, 0.0000), Y at (0.0745, 0.0000, 0.6995), Y at (0.1722, 0.0000, 0.3883), Ho at (0.0815, 0.5000, 0.4417) and Ho at (0.2101, 0.5000, 0.8766).

Stability order, top to bottom: a), b)

a) Compound: Nd3Y6Ho
Source: Alexandria via LeMat-Bulk
Functional: PBE
Structure: relaxed

The space group is R3 (No. 146, hexagonal axes) and the conventional cell measures 9.9600, 9.9600 and 11.7129 Å, with angles of 90.00, 90.00 and 120.00 degrees. The distinct sites, in fractional coordinates, are Nd at (0.0000, 0.0000, 0.0000), Nd at (0.0000, 0.0000, 0.2505), Nd at (0.0000, 0.0000, 0.5002), Y at (0.0030, 0.3290, 0.4993), Y at (0.0076, 0.6700, 0.6658) and Ho at (0.0000, 0.0000, 0.7503).

b) Compound: Nd3Y6Ho
Source: Alexandria via LeMat-Bulk
Functional: PBE
Structure: relaxed

The space group is Cmc2_1 (No. 36) and the conventional cell measures 10.9718, 18.9159 and 6.4440 Å, with angles of 90.00, 90.00 and 90.00 degrees. The distinct sites, in fractional coordinates, are Nd at (0.0000, 0.1136, 0.0000), Nd at (0.1781, 0.3859, 0.3928), Y at (0.0000, 0.2328, 0.5880), Y at (0.0000, 0.4607, 0.7929), Y at (0.1677, 0.0443, 0.4832), Y at (0.2369, 0.2087, 0.3023) and Ho at (0.0000, 0.3070, 0.0669).

Stability order, top to bottom: b), a)

a) Compound: Nd3Y4Ho2
Source: Alexandria via LeMat-Bulk
Functional: PBE
Structure: relaxed

The space group is C2/m (No. 12) and the conventional cell measures 11.9284, 3.5971 and 14.8214 Å, with angles of 90.00, 111.36 and 90.00 degrees. The distinct sites, in fractional coordinates, are Nd at (0.0000, 0.0000, 0.0000), Nd at (0.1097, 0.0000, 0.4420), Y at (0.1692, 0.5000, 0.6685), Y at (0.2220, 0.0000, 0.8887) and Ho at (0.0538, 0.5000, 0.2204).

b) Compound: Nd3Y4Ho2
Source: Alexandria via LeMat-Bulk
Functional: PBE
Structure: relaxed

The space group is C2/c (No. 15) and the conventional cell measures 16.7166, 11.7308 and 6.0908 Å, with angles of 90.00, 97.46 and 90.00 degrees. The distinct sites, in fractional coordinates, are Nd at (0.0000, 0.1029, 0.2500), Nd at (0.1669, 0.3917, 0.0823), Y at (0.0500, 0.3665, 0.5192), Y at (0.2155, 0.1286, 0.3567) and Ho at (0.1153, 0.1352, 0.8164).

Stability order, top to bottom: a), b)

a) Compound: Nd7YHo3
Source: Alexandria via LeMat-Bulk
Functional: PBE
Structure: relaxed

The space group is C2/c (No. 15) and the conventional cell measures 19.3051, 7.2186 and 12.6121 Å, with angles of 90.00, 116.13 and 90.00 degrees. The distinct sites, in fractional coordinates, are Nd at (0.0000, 0.2215, 0.2500), Nd at (0.1587, 0.4941, 0.7731), Nd at (0.1676, 0.2472, 0.0277), Nd at (0.1684, 0.2487, 0.5294), Y at (0.0000, 0.0000, 0.0000), Ho at (0.0000, 0.5000, 0.0000) and Ho at (0.1701, 0.0029, 0.2748).

b) Compound: Nd7YHo3
Source: Alexandria via LeMat-Bulk
Functional: PBE
Structure: relaxed

The space group is C2/m (No. 12) and the conventional cell measures 12.8509, 11.3855 and 5.9164 Å, with angles of 90.00, 117.35 and 90.00 degrees. The distinct sites, in fractional coordinates, are Nd at (0.0000, 0.0000, 0.0000), Nd at (0.1938, 0.2910, 0.6935), Nd at (0.2081, 0.5000, 0.2064), Y at (0.0000, 0.0000, 0.5000), Ho at (0.0000, 0.2954, 0.0000) and Ho at (0.0000, 0.5000, 0.5000).

Stability order, top to bottom: a), b)

a) Compound: Nd2Y2Ho
Source: Alexandria via LeMat-Bulk
Functional: PBE
Structure: relaxed

The space group is C2/c (No. 15) and the conventional cell measures 15.9484, 6.3311 and 6.8404 Å, with angles of 90.00, 103.87 and 90.00 degrees. The distinct sites, in fractional coordinates, are Nd at (0.1000, 0.0818, 0.4444), Y at (0.1996, 0.4187, 0.1521) and Ho at (0.0000, 0.4149, 0.7500).

b) Compound: Nd2Y2Ho
Source: Alexandria via LeMat-Bulk
Functional: PBE
Structure: relaxed

The space group is Imma (No. 74) and the conventional cell measures 3.6716, 5.7651 and 31.7874 Å, with angles of 90.00, 90.00 and 90.00 degrees. The distinct sites, in fractional coordinates, are Nd at (0.0000, 0.2500, 0.0219), Nd at (0.0000, 0.2500, 0.1208), Y at (0.0000, 0.2500, 0.2915), Y at (0.0000, 0.2500, 0.8047) and Ho at (0.0000, 0.2500, 0.5808).

Stability order, top to bottom: a), b)

a) Compound: Nd4YHo2
Source: Alexandria via LeMat-Bulk
Functional: PBE
Structure: relaxed

The space group is Fdd2 (No. 43) and the conventional cell measures 12.0194, 24.3581 and 6.4906 Å, with angles of 90.00, 90.00 and 90.00 degrees. The distinct sites, in fractional coordinates, are Nd at (0.0523, 0.4294, 0.0000), Nd at (0.0685, 0.3562, 0.4706), Y at (0.0000, 0.0000, 0.0051) and Ho at (0.0247, 0.2842, 0.9445).

b) Compound: Nd4YHo2
Source: Alexandria via LeMat-Bulk
Functional: PBE
Structure: relaxed

The space group is C2 (No. 5) and the conventional cell measures 16.5698, 6.9438 and 11.5844 Å, with angles of 90.00, 134.33 and 90.00 degrees. The distinct sites, in fractional coordinates, are Nd at (0.0009, 0.0000, 0.2510), Nd at (0.0006, 0.4340, 0.2506), Nd at (0.1616, 0.2720, 0.1622), Nd at (0.1616, 0.2719, 0.6611), Y at (0.2168, 0.6645, 0.9671), Ho at (0.0000, 0.7337, 0.0000), Ho at (0.0000, 0.7338, 0.5000) and Ho at (0.2174, 0.6642, 0.4678).

Stability order, top to bottom: a), b)

a) Compound: NdY2Ho9
Source: Alexandria via LeMat-Bulk
Functional: PBE
Structure: relaxed

The space group is P4/mmm (No. 123) and the conventional cell measures 5.0165, 5.0165 and 15.0463 Å, with angles of 90.00, 90.00 and 90.00 degrees. The distinct sites, in fractional coordinates, are Nd at (0.0000, 0.0000, 0.0000), Y at (0.0000, 0.0000, 0.3340), Ho at (0.0000, 0.5000, 0.1680), Ho at (0.0000, 0.5000, 0.5000), Ho at (0.5000, 0.5000, 0.0000) and Ho at (0.5000, 0.5000, 0.3345).

b) Compound: NdY2Ho9
Source: Alexandria via LeMat-Bulk
Functional: PBE
Structure: relaxed

The space group is P6/mmm (No. 191) and the conventional cell measures 11.2212, 11.2212 and 3.4993 Å, with angles of 90.00, 90.00 and 120.00 degrees. The distinct sites, in fractional coordinates, are Nd at (0.0000, 0.0000, 0.0000), Y at (0.3333, 0.6667, 0.0000), Ho at (0.0000, 0.5000, 0.0000) and Ho at (0.1774, 0.3548, 0.5000).

Stability order, top to bottom: a), b)

a) Compound: Nd4Y2Ho5
Source: Alexandria via LeMat-Bulk
Functional: PBE
Structure: relaxed

The space group is C2/m (No. 12) and the conventional cell measures 22.3591, 3.6904 and 9.1642 Å, with angles of 90.00, 106.19 and 90.00 degrees. The distinct sites, in fractional coordinates, are Nd at (0.0685, 0.0000, 0.2558), Nd at (0.0712, 0.5000, 0.9095), Y at (0.1513, 0.0000, 0.6734), Ho at (0.0000, 0.5000, 0.5000), Ho at (0.1990, 0.5000, 0.3833) and Ho at (0.2076, 0.0000, 0.0840).

b) Compound: Nd4Y2Ho5
Source: Alexandria via LeMat-Bulk
Functional: PBE
Structure: relaxed

The space group is C2/m (No. 12) and the conventional cell measures 19.2460, 5.6749 and 6.6366 Å, with angles of 90.00, 91.09 and 90.00 degrees. The distinct sites, in fractional coordinates, are Nd at (0.0198, 0.0000, 0.2867), Nd at (0.1948, 0.5000, 0.0727), Y at (0.0983, 0.5000, 0.5537), Ho at (0.0000, 0.5000, 0.0000), Ho at (0.1302, 0.0000, 0.8923) and Ho at (0.2086, 0.0000, 0.4024).

Stability order, top to bottom: a), b)

a) Compound: Nd2Y3Ho6
Source: Alexandria via LeMat-Bulk
Functional: PBE
Structure: relaxed

The space group is C2/m (No. 12) and the conventional cell measures 6.1187, 10.6142 and 11.7062 Å, with angles of 90.00, 100.13 and 90.00 degrees. The distinct sites, in fractional coordinates, are Nd at (0.0000, 0.1666, 0.0000), Y at (0.0000, 0.0000, 0.5000), Y at (0.0000, 0.3349, 0.5000), Ho at (0.2494, 0.1668, 0.7480) and Ho at (0.2501, 0.0000, 0.2518).

b) Compound: Nd2Y3Ho6
Source: Alexandria via LeMat-Bulk
Functional: PBE
Structure: relaxed

The space group is I4/mmm (No. 139) and the conventional cell measures 4.7471, 4.7471 and 33.0753 Å, with angles of 90.00, 90.00 and 90.00 degrees. The distinct sites, in fractional coordinates, are Nd at (0.0000, 0.0000, 0.0463), Y at (0.0000, 0.0000, 0.2970), Y at (0.0000, 0.0000, 0.5000), Ho at (0.0000, 0.0000, 0.1930) and Ho at (0.0000, 0.5000, 0.1212).

Stability order, top to bottom: a), b)